(1)
# GGA-PBE HfSbC2, optimized geometry
data_HfSbC2
_symmetry_space_group_name_H-M 'P 1'
_symmetry_Int_Tables_number 1
_symmetry_space_group_name_Hall 'P 1'
_cell_length_a 6.211
_cell_length_b 6.211
_cell_length_c 6.211
_cell_angle_alpha 130.88
_cell_angle_beta 130.88
_cell_angle_gamma 72.00
loop_
_atom_site_label
_atom_site_type_symbol
_atom_site_fract_x
_atom_site_fract_y
_atom_site_fract_z
_atom_site_occupancy
Hf1 Hf 0.000 0.000 0.000 1
Hf2 Hf 0.750 0.250 0.500 1
Sb1 Sb 0.250 0.750 0.500 1
Sb2 Sb 0.500 0.500 0.000 1
C1 C 0.118 0.625 0.993 1
C2 C 0.375 0.368 0.493 1
C3 C 0.632 0.125 0.007 1
C4 C 0.875 0.882 0.507 1
# Formation energy from raw total energies in eV per atom: 0.603
# Spin magnetization in μB per cell: 0.0
# DOS at the Fermi energy in states/eV/atom: 1.033
# Crystal system: tetragonal

=====

(2)
# GGA-PBE Hf2Sb2C, optimized geometry
data_Hf2Sb2C
_symmetry_space_group_name_H-M 'P 1'
_symmetry_Int_Tables_number 1
_symmetry_space_group_name_Hall 'P 1'
_cell_length_a 7.585
_cell_length_b 7.585
_cell_length_c 8.018
_cell_angle_alpha 90.00
_cell_angle_beta 90.00
_cell_angle_gamma 153.63
loop_
_atom_site_label
_atom_site_type_symbol
_atom_site_fract_x
_atom_site_fract_y
_atom_site_fract_z
_atom_site_occupancy
Hf1 Hf 0.052 0.948 0.500 1
Hf2 Hf 0.373 0.627 0.344 1
Hf3 Hf 0.627 0.373 0.844 1
Hf4 Hf 0.948 0.052 0.000 1
Sb1 Sb 0.266 0.734 0.039 1
Sb2 Sb 0.410 0.590 0.699 1
Sb3 Sb 0.590 0.410 0.199 1
Sb4 Sb 0.734 0.266 0.539 1
C1 C 0.050 0.950 0.774 1
C2 C 0.950 0.050 0.274 1
# Formation energy from raw total energies in eV per atom: -0.186
# Spin magnetization in μB per cell: 0.0
# DOS at the Fermi energy in states/eV/atom: 0.369
# Crystal system: orthorhombic

=====

(3)
# GGA-PBE Hf4SbC2, optimized geometry
data_Hf4SbC2
_symmetry_space_group_name_H-M 'P 1'
_symmetry_Int_Tables_number 1
_symmetry_space_group_name_Hall 'P 1'
_cell_length_a 5.905
_cell_length_b 5.905
_cell_length_c 11.878
_cell_angle_alpha 90.00
_cell_angle_beta 90.00
_cell_angle_gamma 145.59
loop_
_atom_site_label
_atom_site_type_symbol
_atom_site_fract_x
_atom_site_fract_y
_atom_site_fract_z
_atom_site_occupancy
Hf1 Hf 0.000 0.000 0.000 1
Hf2 Hf 0.000 0.000 0.500 1
Hf3 Hf 0.258 0.742 0.602 1
Hf4 Hf 0.258 0.742 0.898 1
Hf5 Hf 0.412 0.588 0.250 1
Hf6 Hf 0.588 0.412 0.750 1
Hf7 Hf 0.742 0.258 0.102 1
Hf8 Hf 0.742 0.258 0.398 1
Sb1 Sb 0.108 0.892 0.250 1
Sb2 Sb 0.892 0.108 0.750 1
C1 C 0.366 0.634 0.061 1
C2 C 0.366 0.634 0.439 1
C3 C 0.634 0.366 0.561 1
C4 C 0.634 0.366 0.939 1
# Formation energy from raw total energies in eV per atom: -0.700
# Spin magnetization in μB per cell: 0.0
# DOS at the Fermi energy in states/eV/atom: 0.281
# Crystal system: orthorhombic